Arrangement P

{"formula": "Th2MgTl2", "functional": "GGA-PBE", "state": "relaxed", "total_magnetization_mub_per_fu": 0.0, "spacegroup": "No. 127", "lattice": [[4.696, 0.000, 0.000], [0.000, 7.876, 0.000], [0.000, 0.000, 7.876]], "species": ["Th", "Th", "Th", "Th", "Mg", "Mg", "Tl", "Tl", "Tl", "Tl"], "frac_coords": [[0.000, 0.672, 0.828], [0.000, 0.328, 0.172], [0.000, 0.828, 0.328], [0.000, 0.172, 0.672], [0.500, 0.500, 0.500], [0.500, 0.000, 0.000], [0.500, 0.366, 0.866], [0.500, 0.634, 0.134], [0.500, 0.134, 0.366], [0.500, 0.866, 0.634]]}

Arrangement Q

{"formula": "Th2MgTl2", "functional": "GGA-PBE", "state": "relaxed", "total_magnetization_mub_per_fu": 0.0, "spacegroup": "No. 36", "lattice": [[5.050, 0.000, 0.000], [0.000, 6.625, 0.000], [-2.525, 0.000, 8.728]], "species": ["Th", "Th", "Th", "Th", "Mg", "Mg", "Tl", "Tl", "Tl", "Tl"], "frac_coords": [[0.990, 0.779, 0.981], [0.802, 0.380, 0.603], [0.198, 0.880, 0.397], [0.010, 0.279, 0.019], [0.391, 0.059, 0.781], [0.609, 0.559, 0.219], [0.416, 0.525, 0.832], [0.812, 0.891, 0.623], [0.188, 0.391, 0.377], [0.584, 0.025, 0.168]]}

Most stable pick: arrangement P. Distance to second place: 81 meV/atom.

Arrangement P

{"formula": "Th2MgTl3", "functional": "GGA-PBE", "state": "relaxed", "total_magnetization_mub_per_fu": 0.0, "spacegroup": "No. 71", "lattice": [[5.102, 0.000, 0.000], [0.000, 6.450, 0.000], [-2.551, -3.225, 5.616]], "species": ["Th", "Th", "Mg", "Tl", "Tl", "Tl"], "frac_coords": [[0.681, 0.181, 0.362], [0.319, 0.819, 0.638], [0.000, 0.500, 0.000], [0.353, 0.353, 0.707], [0.000, 0.000, 0.000], [0.647, 0.647, 0.293]]}

Arrangement Q

{"formula": "Th2MgTl3", "functional": "GGA-PBE", "state": "relaxed", "total_magnetization_mub_per_fu": 0.0, "spacegroup": "No. 65", "lattice": [[-3.102, 2.520, 2.359], [-1.404, -3.975, 2.402], [5.843, 3.367, 4.086]], "species": ["Th", "Th", "Mg", "Tl", "Tl", "Tl"], "frac_coords": [[0.000, 0.658, 0.316], [0.000, 0.342, 0.684], [0.000, 0.000, 0.000], [0.500, 0.167, 0.335], [0.500, 0.500, 0.000], [0.500, 0.833, 0.665]]}

Most stable pick: arrangement Q. Distance to second place: 231 meV/atom.

Arrangement P

{"formula": "Th4MgTl5", "functional": "GGA-PBE", "state": "relaxed", "total_magnetization_mub_per_fu": 0.0, "spacegroup": "No. 123", "lattice": [[-1.361, 1.590, -2.931], [-3.189, 0.302, 1.646], [5.860, 19.388, 7.799]], "species": ["Th", "Th", "Th", "Th", "Mg", "Tl", "Tl", "Tl", "Tl", "Tl"], "frac_coords": [[0.000, 0.000, 0.185], [0.000, 0.000, 0.395], [0.000, 0.000, 0.605], [0.000, 0.000, 0.815], [0.000, 0.000, 0.000], [0.500, 0.500, 0.081], [0.500, 0.500, 0.290], [0.500, 0.500, 0.500], [0.500, 0.500, 0.710], [0.500, 0.500, 0.919]]}

Arrangement Q

{"formula": "Th4MgTl5", "functional": "GGA-PBE", "state": "relaxed", "total_magnetization_mub_per_fu": 0.0, "spacegroup": "No. 79", "lattice": [[6.427, 0.000, 0.000], [3.214, 6.843, 0.000], [3.214, 0.000, 6.843]], "species": ["Th", "Th", "Th", "Th", "Mg", "Tl", "Tl", "Tl", "Tl", "Tl"], "frac_coords": [[0.402, 0.384, 0.728], [0.785, 0.728, 0.616], [0.130, 0.272, 0.384], [0.513, 0.616, 0.272], [0.206, 0.000, 0.000], [0.847, 0.342, 0.880], [0.189, 0.880, 0.658], [0.727, 0.120, 0.342], [0.070, 0.658, 0.120], [0.641, 0.000, 0.000]]}

Most stable pick: arrangement P. Distance to second place: 182 meV/atom.